[1]
Crystalline CaSm15Tm4 at its relaxed geometry. Source: the Alexandria database, functional PBE.

Results
mass density	7.4	g/cm³
energy of formation	0.03	eV per atom
total moment	0.00	μB/f.u.

Lattice parameters (Å, degrees): 5.108 5.108 25.456 90.00 90.00 90.00
Element x y z (fractional)
Sm (0.500, 0.000, 0.302)
Sm (0.500, 0.500, 0.599)
Tm (0.000, 0.000, 0.202)
Sm (0.000, 0.500, 0.105)
Sm (0.500, 0.500, 0.401)
Tm (0.000, 0.000, 0.599)
Sm (0.000, 0.500, 0.302)
Sm (0.000, 0.500, 0.698)
Sm (0.000, 0.500, 0.500)
Sm (0.500, 0.500, 0.000)
Tm (0.000, 0.000, 0.798)
Sm (0.500, 0.500, 0.202)
Sm (0.500, 0.000, 0.698)
Sm (0.000, 0.500, 0.895)
Sm (0.500, 0.000, 0.500)
Sm (0.500, 0.000, 0.895)
Tm (0.000, 0.000, 0.401)
Sm (0.500, 0.500, 0.798)
Ca (0.000, 0.000, 0.000)
Sm (0.500, 0.000, 0.105)

[2]
Crystalline ThMn2Si2Pt7 at its relaxed geometry. Source: the Alexandria database, functional PBE.

Results
mass density	14.5	g/cm³
raw formation energy	-561	meV/atom
total moment	8.54	μB/f.u.

Lattice parameters (Å, degrees): 4.102 4.102 13.431 71.56 71.56 88.67
Last column: magnetic moment on the atom in μB.
Element x y z (fractional)
Mn (0.656, 0.656, 0.340)  3.82
Si (0.184, 0.184, 0.314)  -0.03
Pt (0.222, 0.222, 0.502)  0.14
Mn (0.344, 0.344, 0.660)  3.82
Si (0.816, 0.816, 0.686)  -0.03
Pt (0.307, 0.807, 0.191)  0.06
Th (0.000, 0.000, 0.000)  0.04
Pt (0.693, 0.193, 0.809)  0.06
Pt (0.500, 0.500, 0.000)  0.04
Pt (0.193, 0.693, 0.809)  0.06
Pt (0.778, 0.778, 0.498)  0.14
Pt (0.807, 0.307, 0.191)  0.06